! KYMnPd2 PBE optimized geometry; values from VASP
! Fermi-level density of states = 4.29 states/eV per cell
! calculated volume = 30.9 A^3/atom
! formation energy = 4.8 eV per formula unit
! electronic total energy = -4.455 eV per atom
! SG = P4/mmm (123)
&SYSTEM
  ibrav = 0, nat = 5, ntyp = 4
/
ATOMIC_SPECIES
K 39.10 K.upf
Pd 106.42 Pd.upf
Mn 54.94 Mn.upf
Y 88.91 Y.upf
CELL_PARAMETERS angstrom
-0.019 2.539 -4.428
-3.289 -4.283 -2.442
-4.246 2.450 1.423
ATOMIC_POSITIONS crystal
K 0.000 0.500 0.000
Pd 0.000 0.000 0.500
Pd 0.500 0.000 0.000
Mn 0.500 0.500 0.500
Y 0.000 0.000 0.000